Entry 1:
This record from the Alexandria database describes an optimized crystal structure of NbSeO. The functional is PBE.

The structure in POSCAR format:
```
NbSeO
1.0
3.347 0.000 0.000
0.000 5.653 -0.283
0.000 -2.311 6.995
Se O Nb
2 2 2
direct
0.250 0.301 0.231
0.750 0.699 0.769
0.750 0.841 0.384
0.250 0.159 0.616
0.750 0.257 0.501
0.250 0.743 0.499
```

Output
- E_form (uncorrected) (eV per formula unit) = -4.58

---

Entry 2:
This record from the Alexandria database describes an optimized crystal structure of Nb3Se4O2. The functional is PBE.

The structure in POSCAR format:
```
Nb3Se4O2
1.0
3.259 0.000 0.000
-1.629 2.822 0.000
0.000 0.000 20.018
Se Nb O
4 3 2
direct
0.667 0.333 0.223
0.000 0.000 0.580
0.667 0.333 0.401
0.000 0.000 0.757
0.000 0.000 0.978
0.667 0.333 0.668
0.000 0.000 0.313
0.667 0.333 0.036
0.667 0.333 0.920
```

Output
- E_form (uncorrected) (eV per formula unit) = -10.16

---

Entry 3:
This record from the Alexandria database describes an optimized crystal structure of Nb3Se5O. The functional is PBE.

The structure in POSCAR format:
```
Nb3Se5O
1.0
-4.532 5.116 2.081
-4.579 0.244 -5.478
-7.895 -3.423 2.255
Nb Se O
6 10 2
direct
0.651 0.651 0.828
0.349 0.349 0.172
0.268 0.268 0.677
0.000 0.000 0.500
0.000 0.000 0.000
0.732 0.732 0.323
0.038 0.621 0.657
0.455 0.455 0.363
0.962 0.379 0.343
0.545 0.545 0.637
0.236 0.236 0.971
0.714 0.286 0.000
0.621 0.038 0.657
0.286 0.714 0.000
0.764 0.764 0.029
0.379 0.962 0.343
0.083 0.083 0.706
0.917 0.917 0.294
```

Output
- E_form (uncorrected) (eV per formula unit) = -7.19

---

- What is the E_form (uncorrected) in the third record?
  -7.19 eV per formula unit

---

- Which of these has the lowest E_form (uncorrected)?
  Nb3Se4O2

---

Copy entry 1 word for word.
This record from the Alexandria database describes an optimized crystal structure of NbSeO. The functional is PBE.

The structure in POSCAR format:
```
NbSeO
1.0
3.347 0.000 0.000
0.000 5.653 -0.283
0.000 -2.311 6.995
Se O Nb
2 2 2
direct
0.250 0.301 0.231
0.750 0.699 0.769
0.750 0.841 0.384
0.250 0.159 0.616
0.750 0.257 0.501
0.250 0.743 0.499
```

Output
- E_form (uncorrected) (eV per formula unit) = -4.58

---

- What is the E_form (uncorrected) in the third record?
  -7.19 eV per formula unit